Record 1
Below is a geometry-optimized BeNb2AuN structure, with properties calculated at the PBE-GGA level.

For the total magnetization, the calculation gives 0.00 μB/f.u. For the uncorrected formation energy, the calculation gives -0.3329 eV/atom.

The space group is P4/mmm (No. 123) and the conventional cell measures 4.377, 4.377 and 3.579 Å, with angles of 90.00, 90.00 and 90.00 degrees. The asymmetric unit holds Be at (0.000, 0.000, 0.000), Nb at (0.000, 0.500, 0.500), Au at (0.500, 0.500, 0.000) and N at (0.000, 0.000, 0.500).

---

Record 2
Below is a geometry-optimized BeAuN2O structure, with properties calculated at the PBE-GGA level.

For the total magnetization, the calculation gives 2.35 μB/f.u. For the uncorrected formation energy, the calculation gives 1.9893 eV/atom.

The space group is P4/mmm (No. 123) and the conventional cell measures 3.977, 3.977 and 4.289 Å, with angles of 90.00, 90.00 and 90.00 degrees. The asymmetric unit holds Be at (0.000, 0.000, 0.000), Au at (0.500, 0.500, 0.500), N at (0.000, 0.500, 0.500) and O at (0.500, 0.500, 0.000).

---

Record 3
Below is a geometry-optimized BeAuN2O structure, with properties calculated at the PBE-GGA level.

For the total magnetization, the calculation gives 0.00 μB/f.u. For the uncorrected formation energy, the calculation gives 1.1315 eV/atom.

The space group is P4/mmm (No. 123) and the conventional cell measures 3.787, 3.787 and 3.267 Å, with angles of 90.00, 90.00 and 90.00 degrees. The asymmetric unit holds Be at (0.000, 0.000, 0.000), Au at (0.500, 0.500, 0.500), N at (0.000, 0.500, 0.000) and O at (0.000, 0.000, 0.500).

---

Record 4
Below is a geometry-optimized BeAuSe2N structure, with properties calculated at the PBE-GGA level.

For the total magnetization, the calculation gives 0.00 μB/f.u. For the uncorrected formation energy, the calculation gives 0.5174 eV/atom.

The space group is P4/mmm (No. 123) and the conventional cell measures 5.219, 5.219 and 2.993 Å, with angles of 90.00, 90.00 and 90.00 degrees. The asymmetric unit holds Be at (0.000, 0.000, 0.000), Au at (0.500, 0.500, 0.500), Se at (0.000, 0.500, 0.000) and N at (0.000, 0.000, 0.500).

---

Record 5
Below is a geometry-optimized BeAuSe2N structure, with properties calculated at the PBE-GGA level.

For the total magnetization, the calculation gives 0.00 μB/f.u. For the uncorrected formation energy, the calculation gives 1.3706 eV/atom.

The space group is P4/mmm (No. 123) and the conventional cell measures 5.285, 5.285 and 3.732 Å, with angles of 90.00, 90.00 and 90.00 degrees. The asymmetric unit holds Be at (0.000, 0.000, 0.000), Au at (0.500, 0.500, 0.500), Se at (0.000, 0.500, 0.500) and N at (0.500, 0.500, 0.000).

---

Record 6
Below is a geometry-optimized Be2TcAuN structure, with properties calculated at the PBE-GGA level.

For the total magnetization, the calculation gives 0.00 μB/f.u. For the uncorrected formation energy, the calculation gives 0.0327 eV/atom.

The space group is P4/mmm (No. 123) and the conventional cell measures 3.839, 3.839 and 3.886 Å, with angles of 90.00, 90.00 and 90.00 degrees. The asymmetric unit holds Be at (0.000, 0.500, 0.000), Tc at (0.000, 0.000, 0.500), Au at (0.500, 0.500, 0.500) and N at (0.000, 0.000, 0.000).

---

Record 7
Below is a geometry-optimized Y2BeAuN structure, with properties calculated at the PBE-GGA level.

For the total magnetization, the calculation gives 0.00 μB/f.u. For the uncorrected formation energy, the calculation gives -0.8885 eV/atom.

The space group is P4/mmm (No. 123) and the conventional cell measures 5.008, 5.008 and 3.452 Å, with angles of 90.00, 90.00 and 90.00 degrees. The asymmetric unit holds Y at (0.000, 0.500, 0.000), Be at (0.000, 0.000, 0.500), Au at (0.500, 0.500, 0.500) and N at (0.000, 0.000, 0.000).

---

Record 8
Below is a geometry-optimized BeZnAu2N structure, with properties calculated at the PBE-GGA level.

For the total magnetization, the calculation gives 0.00 μB/f.u. For the uncorrected formation energy, the calculation gives 0.1028 eV/atom.

The space group is P4/mmm (No. 123) and the conventional cell measures 4.884, 4.884 and 3.045 Å, with angles of 90.00, 90.00 and 90.00 degrees. The asymmetric unit holds Be at (0.000, 0.000, 0.000), Zn at (0.500, 0.500, 0.000), Au at (0.000, 0.500, 0.500) and N at (0.000, 0.000, 0.500).

---

Question: Among the records above, which one has the highest total magnetization?
Answer: number 2

---

Question: total magnetization of number 6 (Be2TcAuN)?
Answer: 0.00 μB/f.u.